Sr2CaBe: relaxed, PBE.

a b c (Å): 3.806 3.806 10.122
angles (deg): 90.00 90.00 90.00
Space group P4mm (No. 99)
Inequivalent atoms, fractional coordinates:
Sr: 0.000 0.000 0.000 x1
Sr: 0.500 0.500 0.343 x1
Ca: 0.500 0.500 0.688 x1
Be: 0.000 0.000 0.533 x1

## Properties
**E_tot**: -2.0100 eV/atom
**Formation energy from the elements**: 0.263 eV per atom
**Calculated density**: 2.54 Mg/m³
**Total magnetic moment**: 0.0 μB per cell